Compound: Dy3Zn2Au
Source: OQMD
Functional: GGA-PBE
Structure: optimized geometry

As for the formation energy: -0.53 eV/atom.

The space group is P4/mmm (No. 123) and the conventional cell measures 3.581, 3.581 and 10.649 Å, with angles of 90.00, 90.00 and 90.00 degrees. The asymmetric unit holds Dy at (0.000, 0.000, 0.000), Dy at (0.000, 0.000, 0.331), Zn at (0.500, 0.500, 0.161) and Au at (0.500, 0.500, 0.500).

Compound: DyZrAu6
Source: OQMD
Functional: GGA-PBE
Structure: optimized geometry

As for the formation energy: -0.61 eV/atom.

The space group is Pmm2 (No. 25) and the conventional cell measures 4.952, 6.166 and 5.058 Å, with angles of 90.00, 90.00 and 90.00 degrees. The asymmetric unit holds Dy at (0.000, 0.000, 0.000), Zr at (0.500, 0.500, 0.316), Au at (0.000, 0.263, 0.497), Au at (0.000, 0.500, 0.003), Au at (0.500, 0.000, 0.331) and Au at (0.500, 0.255, 0.822).